1.
Here is a relaxed structure of YPPbCl2 from Alexandria via LeMat-Bulk. Energies are from GGA-PBE.

## Properties
- space group = P4/mmm
- formation energy from raw total energies (eV/atom) = -0.461
- ΔE to the lowest computed polymorph (meV per atom) = 0

Cell: 5.355 5.355 7.758 Å, 90.00 90.00 90.00°
Fractional coordinates of all 5 atoms:
Pb (0.500, 0.500, 0.500)
Y (0.000, 0.000, 0.000)
P (0.000, 0.000, 0.500)
Cl (0.000, 0.500, 0.000)
Cl (0.500, 0.000, 0.000)



2.
Here is a relaxed structure of PmZnCo4 from Alexandria via LeMat-Bulk. Energies are from GGA-PBE.

## Properties
- ΔE_f (meV/atom) = -58
- space group = F-43m

Cell: 4.961 4.961 4.961 Å, 60.00 60.00 60.00°
Site moments in Bohr magnetons follow the coordinates.
Fractional coordinates of all 6 atoms:
Zn (0.000, 0.000, 0.000)  -0.04
Co (0.626, 0.626, 0.121)  1.38
Co (0.626, 0.121, 0.626)  1.38
Co (0.626, 0.626, 0.626)  1.38
Co (0.121, 0.626, 0.626)  1.38
Pm (0.250, 0.250, 0.250)  -0.25



Record-wise N(E_F) values, in states/eV per atom: 0.52 1.42